Entry 1:
Computed, not measured: a relaxed Zr4AlCl crystal at the GGA-PBE level of DFT.

Lattice parameters (Å, degrees): 5.8085 5.8085 5.8085 60.00 60.00 60.00
With the nearest neighbours (Å) after each atom.
Sites, in units of the cell vectors:
Zr1 0.3776 0.3776 0.3776  6 Zr 2.84-2.97
Zr2 0.3776 0.8671 0.3776  6 Zr 2.84-2.97
Zr3 0.8671 0.3776 0.3776  6 Zr 2.84-2.97
Zr4 0.3776 0.3776 0.8671  6 Zr 2.84-2.97
Al1 0.7500 0.7500 0.7500  12 Zr 3.40, 4 Cl 3.56
Cl1 0.0000 0.0000 0.0000  12 Zr 3.41, 4 Al 3.56

Properties
symmetry: F-43m, No. 216
formation energy (no corrections): 0.36 eV/atom

---

Entry 2:
Computed, not measured: a relaxed TlGaP2Pb crystal at the GGA-PBE level of DFT.

Lattice parameters (Å, degrees): 5.1703 5.8787 5.1703 90.00 90.00 90.00
With the nearest neighbours (Å) after each atom.
Sites, in units of the cell vectors:
Pb1 0.0000 0.5000 0.0000  2 Tl 2.94
Ga1 0.5000 0.5000 0.5000  4 Pb 3.66, 8 P 3.91
Tl1 0.0000 0.0000 0.0000  4 P 2.59
P1 0.5000 0.0000 0.0000  2 Tl 2.59
P2 0.0000 0.0000 0.5000  2 Tl 2.59

Properties
symmetry: P4/mmm, No. 123
energy of formation from the pure elements: 1.06 eV per atom

---

Entry 3:
Computed, not measured: a relaxed LaNbGe2 crystal at the GGA-PBE level of DFT.

Lattice parameters (Å, degrees): 5.0058 5.0058 9.4248 74.60 74.60 90.00
With the nearest neighbours (Å) after each atom.
Sites, in units of the cell vectors:
Ge1 0.8750 0.6908 0.7500  2 Nb 2.54, 2 Ge 2.59
Ge2 0.3750 0.5592 0.7500  2 Nb 2.54, 2 Ge 2.59
Ge3 0.3092 0.6250 0.2500  2 Nb 2.54, 2 Ge 2.59
Ge4 0.4408 0.1250 0.2500  2 Nb 2.54, 2 Ge 2.59
La1 0.7500 0.2500 0.5000  4 Ge 3.33, 4 Nb 3.54
La2 0.0000 0.0000 0.0000  4 Ge 3.33, 4 Nb 3.54
Nb1 0.2500 0.7500 0.5000  4 Ge 2.54
Nb2 0.5000 0.5000 0.0000  4 Ge 2.54

Properties
symmetry: I-42d, No. 122
energy of formation from the pure elements: -0.04 eV per atom

---

Entry 4:
Computed, not measured: a relaxed MgFeReTc crystal at the GGA-PBE level of DFT.

Lattice parameters (Å, degrees): 4.2853 4.2853 4.2853 60.00 60.00 60.00
With the nearest neighbours (Å) after each atom.
Sites, in units of the cell vectors:
Mg1 0.0000 0.0000 0.0000  4 Fe 2.62, 4 Tc 2.62
Tc1 0.7500 0.7500 0.7500  4 Mg 2.62, 4 Re 2.62
Fe1 0.2500 0.2500 0.2500  4 Re 2.62, 4 Mg 2.62
Re1 0.5000 0.5000 0.5000  4 Fe 2.62, 4 Tc 2.62

Properties
symmetry: F-43m, No. 216
energy of formation from the pure elements: 0.15 eV per atom

---

Entry 5:
Computed, not measured: a relaxed MnNiHg2 crystal at the GGA-PBE level of DFT.

Lattice parameters (Å, degrees): 4.5693 4.5693 4.5693 60.00 60.00 60.00
With the nearest neighbours (Å) after each atom.
Sites, in units of the cell vectors:
Hg1 0.7500 0.7500 0.7500  4 Mn 2.80, 4 Ni 2.80
Hg2 0.2500 0.2500 0.2500  4 Ni 2.80, 4 Mn 2.80
Mn1 0.0000 0.0000 0.0000  8 Hg 2.80
Ni1 0.5000 0.5000 0.5000  8 Hg 2.80

Properties
symmetry: Fm-3m, No. 225
energy of formation from the pure elements: 0.26 eV per atom

---

Entry 6:
Computed, not measured: a relaxed HfAl2RuPt crystal at the GGA-PBE level of DFT.

Lattice parameters (Å, degrees): 5.0485 4.5872 5.0485 90.00 90.00 90.00
With the nearest neighbours (Å) after each atom.
Sites, in units of the cell vectors:
Hf1 0.0000 0.0000 0.0000  2 Ru 2.29, 4 Al 2.52
Al1 0.0000 0.0000 0.5000  2 Hf 2.52
Al2 0.5000 0.0000 0.0000  2 Hf 2.52
Ru1 0.0000 0.5000 0.0000  2 Hf 2.29
Pt1 0.5000 0.5000 0.5000  8 Al 3.41, 4 Ru 3.57

Properties
symmetry: P4/mmm, No. 123
energy of formation from the pure elements: 1.35 eV per atom

---

Entry 7:
Computed, not measured: a relaxed Fe2RuPt crystal at the GGA-PBE level of DFT.

Lattice parameters (Å, degrees): 3.8170 3.8170 3.6442 90.00 90.00 90.00
With the nearest neighbours (Å) after each atom.
Sites, in units of the cell vectors:
Pt1 0.5000 0.0000 0.5000  8 Fe 2.64, 4 Ru 2.70
Fe1 0.5000 0.5000 0.0000  4 Pt 2.64, 4 Ru 2.64, 4 Fe 2.70
Fe2 0.0000 0.0000 0.0000  4 Ru 2.64, 4 Pt 2.64, 4 Fe 2.70
Ru1 0.0000 0.5000 0.5000  8 Fe 2.64, 4 Pt 2.70

Properties
symmetry: P4/mmm, No. 123
energy of formation from the pure elements: 0.01 eV per atom

---

Entry 8:
Computed, not measured: a relaxed SnPS2Br crystal at the GGA-PBE level of DFT.

Lattice parameters (Å, degrees): 4.8886 4.8886 5.5592 90.00 90.00 90.00
With the nearest neighbours (Å) after each atom.
Sites, in units of the cell vectors:
Sn1 0.0000 0.0000 0.0000  4 S 2.44
P1 0.0000 0.0000 0.5000  2 Sn 2.78
Br1 0.5000 0.5000 0.5000  4 P 3.46, 8 S 3.70
S1 0.0000 0.5000 0.0000  2 Sn 2.44
S2 0.5000 0.0000 0.0000  2 Sn 2.44

Properties
symmetry: P4/mmm, No. 123
formation energy (no corrections): 0.77 eV/atom